DFT (GGA-PBEsol) results for a geometry-optimized Nd2Ga9Ru3 structure.

Geometry as CIF:
```
data_Nd2Ga9Ru3
_cell_length_a 7.419
_cell_length_b 7.419
_cell_length_c 9.693
_cell_angle_alpha 90.00
_cell_angle_beta 90.00
_cell_angle_gamma 61.25
_space_group_name_H-M_alt 'P 1'
_space_group_IT_number 1
loop_
_space_group_symop_operation_xyz
'x,y,z'
loop_
_atom_site_label
_atom_site_type_symbol
_atom_site_fract_x
_atom_site_fract_y
_atom_site_fract_z
_atom_site_occupancy
Nd1 Nd 0.002 0.675 0.750 1
Nd2 Nd 0.325 0.998 0.750 1
Nd3 Nd 0.675 0.002 0.250 1
Nd4 Nd 0.998 0.325 0.250 1
Ga1 Ga 0.012 0.661 0.075 1
Ga2 Ga 0.012 0.661 0.425 1
Ga3 Ga 0.136 0.864 0.250 1
Ga4 Ga 0.339 0.661 0.557 1
Ga5 Ga 0.339 0.661 0.943 1
Ga6 Ga 0.339 0.988 0.075 1
Ga7 Ga 0.339 0.988 0.425 1
Ga8 Ga 0.340 0.448 0.250 1
Ga9 Ga 0.448 0.340 0.750 1
Ga10 Ga 0.552 0.660 0.250 1
Ga11 Ga 0.660 0.552 0.750 1
Ga12 Ga 0.661 0.012 0.575 1
Ga13 Ga 0.661 0.012 0.925 1
Ga14 Ga 0.661 0.339 0.057 1
Ga15 Ga 0.661 0.339 0.443 1
Ga16 Ga 0.864 0.136 0.750 1
Ga17 Ga 0.988 0.339 0.575 1
Ga18 Ga 0.988 0.339 0.925 1
Ru1 Ru 0.000 0.000 0.000 1
Ru2 Ru 0.000 0.000 0.500 1
Ru3 Ru 0.325 0.325 0.000 1
Ru4 Ru 0.325 0.325 0.500 1
Ru5 Ru 0.675 0.675 0.000 1
Ru6 Ru 0.675 0.675 0.500 1
```

Results
For the raw total energy, the calculation gives -5.630 eV/atom.